DFT (PBE) results for Ba4PS2 after structural relaxation.

Output
The total magnetization comes out at 0.9 μB/f.u. The density of states at the Fermi level is 2.768 states/eV/f.u. The uncorrected energy is -126.8 eV for the cell shown.

Cell: 4.5458 14.8800 15.1689 Å, 90.00 90.00 90.00°
Last column: nearest neighbours and their distance in Å.
Space group Cmcm (No. 63)
Inequivalent atoms, fractional coordinates:
Ba  0.0000  0.0000  0.0000 x4  4 S 3.16
Ba  0.0000  0.2763  0.1255 x8  3 S 3.12-3.25, 2 P 3.37
Ba  0.0000  0.4596  0.7500 x4  2 S 3.20, 2 P 3.23
P  0.0000  0.1143  0.7500 x4  6 Ba 3.23-3.37
S  0.0000  0.3655  0.5604 x8  6 Ba 3.12-3.25

---

DFT (PBE) results for BaP3S after structural relaxation.

Output
The total magnetization comes out at 0.0 μB/f.u. The density of states at the Fermi level is 4.595 states/eV/f.u. The calculation puts the polymorph energy (0 for the lowest one) at 0.000 eV/atom.

Cell: 4.8084 4.8084 4.8084 Å, 90.00 90.00 90.00°
Last column: nearest neighbours and their distance in Å.
Space group Pm-3m (No. 221)
Inequivalent atoms, fractional coordinates:
Ba  0.0000  0.0000  0.0000 x1  12 P 3.40
P  0.0000  0.5000  0.5000 x3  2 S 2.40
S  0.5000  0.5000  0.5000 x1  6 P 2.40

---

DFT (PBE) results for BaP3S9 after structural relaxation.

Output
The total magnetization comes out at 1.0 μB/f.u. The density of states at the Fermi level is 0.033 states/eV/f.u. The uncorrected energy is -242.4 eV for the cell shown.

Cell: 10.5760 14.0520 9.8062 Å, 90.00 90.00 90.00°
Last column: nearest neighbours and their distance in Å.
Space group C222_1 (No. 20)
Inequivalent atoms, fractional coordinates:
Ba  0.1416  0.0000  0.0000 x4  8 S 3.30-3.47
P  0.0110  0.3387  0.0828 x8  4 S 1.97-2.16
P  0.2339  0.0000  0.5000 x4  4 S 2.00-2.12
S  0.0000  0.4389  0.2500 x4  2 P 2.16
S  0.0933  0.2183  0.1569 x8  1 P 2.04
S  0.1295  0.0298  0.6644 x8  1 P 2.00
S  0.1438  0.3899  0.9319 x8  2 P 2.12-2.16
S  0.1493  0.3259  0.5180 x8  1 P 1.97

---

DFT (PBE) results for Ba3PS after structural relaxation.

Output
The total magnetization comes out at 0.9 μB/f.u. The density of states at the Fermi level is 1.254 states/eV/f.u. The calculation puts the polymorph energy (0 for the lowest one) at 0.000 eV/atom.

Cell: 7.8605 4.5898 11.8972 Å, 90.00 102.43 90.00°
Last column: nearest neighbours and their distance in Å.
Space group P2_1/m (No. 11)
Inequivalent atoms, fractional coordinates:
Ba  0.0151  0.2500  0.3381 x2  3 S 3.14-3.20, 1 P 3.20
Ba  0.2704  0.2500  0.9904 x2  3 P 3.17-3.20
Ba  0.4563  0.2500  0.6606 x2  2 P 3.24, 3 S 3.25-3.36
P  0.3628  0.7500  0.8296 x2  6 Ba 3.17-3.24
S  0.2342  0.7500  0.4813 x2  6 Ba 3.14-3.36

---

DFT (PBE) results for Ba2PS2 after structural relaxation.

Output
The total magnetization comes out at 0.0 μB/f.u. The density of states at the Fermi level is 4.880 states/eV/f.u. The calculation puts the polymorph energy (0 for the lowest one) at 0.002 eV/atom.

Cell: 6.1204 6.1204 7.9152 Å, 90.00 90.00 90.00°
Last column: nearest neighbours and their distance in Å.
Space group I4/mmm (No. 139)
Inequivalent atoms, fractional coordinates:
Ba  0.0000  0.5000  0.2500 x4  4 S 3.11
P  0.0000  0.0000  0.0000 x2  2 S 2.52
S  0.0000  0.0000  0.3187 x4  1 P 2.52

---

DFT (PBE) results for Ba4P2S after structural relaxation.

Output
The total magnetization comes out at 0.0 μB/f.u. The uncorrected energy is -125.5 eV for the cell shown.

Cell: 9.4624 9.4624 13.4072 Å, 90.00 90.00 90.00°
Last column: nearest neighbours and their distance in Å.
Space group I4_1/amd (No. 141, origin choice 2)
Inequivalent atoms, fractional coordinates:
Ba  0.0000  0.0211  0.2608 x16  1 S 3.15, 3 P 3.21
P  0.0000  0.0000  0.5000 x8  6 Ba 3.21
S  0.0000  0.2500  0.8750 x4  4 Ba 3.15

---

DFT (PBE) results for BaPS3 after structural relaxation.

Output
The total magnetization comes out at 0.0 μB/f.u. The density of states at the Fermi level is 3.610 states/eV/f.u. The uncorrected energy is -23.4 eV for the cell shown.

Cell: 4.7630 4.7630 4.7630 Å, 90.00 90.00 90.00°
Last column: nearest neighbours and their distance in Å.
Space group Pm-3m (No. 221)
Inequivalent atoms, fractional coordinates:
Ba  0.0000  0.0000  0.0000 x1  12 S 3.37
P  0.5000  0.5000  0.5000 x1  6 S 2.38
S  0.0000  0.5000  0.5000 x3  2 P 2.38

---

DFT (PBE) results for Ba7PS5 after structural relaxation.

Output
The total magnetization comes out at 0.6 μB/f.u. The density of states at the Fermi level is 4.477 states/eV/f.u. The uncorrected energy is -249.6 eV for the cell shown.

Cell: 15.0152 4.5418 26.8500 Å, 90.00 90.02 90.00°
Last column: nearest neighbours and their distance in Å.
Space group C2/m (No. 12)
Inequivalent atoms, fractional coordinates:
Ba  0.0536  0.0000  0.2501 x4  2 S 3.18, 2 P 3.23
Ba  0.0872  0.5000  0.3932 x4  5 S 3.15-3.21
Ba  0.0877  0.5000  0.1070 x4  5 S 3.16-3.20
Ba  0.1372  0.0000  0.5361 x4  6 S 3.22-3.24
Ba  0.1368  0.0000  0.9638 x4  6 S 3.21-3.24
Ba  0.1860  0.5000  0.6784 x4  3 S 3.11-3.24, 2 P 3.38
Ba  0.1857  0.5000  0.8215 x4  3 S 3.11-3.24, 2 P 3.39
P  0.2066  0.5000  0.2500 x4  6 Ba 3.23-3.39
S  0.0000  0.5000  0.0000 x2  6 Ba 3.16-3.21
S  0.0000  0.5000  0.5000 x2  6 Ba 3.15-3.22
S  0.0442  0.0000  0.6449 x4  6 Ba 3.18-3.24
S  0.0442  0.0000  0.8550 x4  6 Ba 3.18-3.24
S  0.2260  0.0000  0.0736 x4  6 Ba 3.11-3.24
S  0.2261  0.0000  0.4264 x4  6 Ba 3.11-3.23

---

DFT (PBE) results for Ba3P2S8 after structural relaxation.

Output
The total magnetization comes out at 0.0 μB/f.u. The density of states at the Fermi level is 0.000 states/eV/f.u. The calculation puts the polymorph energy (0 for the lowest one) at 0.000 eV/atom.

Cell: 17.6175 6.6858 11.8713 Å, 90.00 90.08 90.00°
Last column: nearest neighbours and their distance in Å.
Space group P2_1/c (No. 14)
Inequivalent atoms, fractional coordinates:
Ba  0.0762  0.0205  0.3294 x4  9 S 3.25-3.63
Ba  0.2464  0.5561  0.4745 x4  9 S 3.25-3.55
Ba  0.4222  0.5050  0.1527 x4  8 S 3.24-3.53
P  0.1385  0.5208  0.1684 x4  4 S 2.04-2.07
P  0.3608  0.0371  0.3345 x4  4 S 2.05-2.07
S  0.0835  0.5139  0.3221 x4  1 P 2.07
S  0.0839  0.7311  0.0710 x4  1 P 2.06
S  0.1216  0.2477  0.0946 x4  1 P 2.05
S  0.2462  0.6212  0.1977 x4  1 P 2.04
S  0.2538  0.0695  0.3991 x4  1 P 2.05
S  0.3755  0.0369  0.1631 x4  1 P 2.05
S  0.4076  0.7255  0.8957 x4  1 P 2.07
S  0.4247  0.2316  0.8984 x4  1 P 2.06

---

DFT (PBE) results for BaSbPS2 after structural relaxation.

Output
The total magnetization comes out at 1.7 μB/f.u. The density of states at the Fermi level is 5.192 states/eV/f.u. The calculation puts the polymorph energy (0 for the lowest one) at 1.354 eV/atom.

Cell: 5.8075 5.8075 6.0214 Å, 90.00 90.00 90.00°
Last column: nearest neighbours and their distance in Å.
Space group P4/mmm (No. 123)
Inequivalent atoms, fractional coordinates:
Ba  0.0000  0.0000  0.0000 x1  4 S 2.90, 2 P 3.01
Sb  0.5000  0.5000  0.5000 x1  4 P 4.11, 8 S 4.18
P  0.0000  0.0000  0.5000 x1  2 Ba 3.01
S  0.0000  0.5000  0.0000 x2  2 Ba 2.90

---

DFT (PBE) results for BaSbP2S after structural relaxation.

Output
The total magnetization comes out at 0.0 μB/f.u. The density of states at the Fermi level is 5.615 states/eV/f.u. The calculation puts the polymorph energy (0 for the lowest one) at 1.351 eV/atom.

Cell: 5.5217 5.5217 5.5203 Å, 90.00 90.00 90.00°
Last column: nearest neighbours and their distance in Å.
Space group P4/mmm (No. 123)
Inequivalent atoms, fractional coordinates:
Ba  0.0000  0.0000  0.0000 x1  2 S 2.76, 4 P 2.76
Sb  0.5000  0.5000  0.5000 x1  8 P 3.90, 4 S 3.90
P  0.0000  0.5000  0.0000 x2  2 Ba 2.76
S  0.0000  0.0000  0.5000 x1  2 Ba 2.76

---

DFT (PBE) results for BaSbP2S after structural relaxation.

Output
The total magnetization comes out at 0.0 μB/f.u. The density of states at the Fermi level is 5.397 states/eV/f.u. The calculation puts the polymorph energy (0 for the lowest one) at 0.000 eV/atom.

Cell: 5.1128 5.1128 5.2772 Å, 90.00 90.00 90.00°
Last column: nearest neighbours and their distance in Å.
Space group P4/mmm (No. 123)
Inequivalent atoms, fractional coordinates:
Ba  0.0000  0.0000  0.0000 x1  4 S 3.62, 8 P 3.67
Sb  0.5000  0.5000  0.5000 x1  4 P 2.56, 2 S 2.64
P  0.0000  0.5000  0.5000 x2  2 Sb 2.56
S  0.5000  0.5000  0.0000 x1  2 Sb 2.64